1.
CdAs2Pb2: optimized geometry, GGA-PBE.

Lattice parameters (Å, degrees): 8.6650 8.6650 7.4624 90.00 90.00 150.08
Closest atoms and distances in Å follow each position.
Fractional coordinates of all 10 atoms:
Cd: 0.1005 0.8995 0.5000  4 As 2.76-2.88
Cd: 0.8995 0.1005 0.0000  4 As 2.76-2.88
As: 0.0604 0.9396 0.1377  2 Cd 2.79-2.88
As: 0.3124 0.6876 0.0935  2 Cd 2.76, 2 Pb 2.98-3.01
As: 0.6876 0.3124 0.5935  2 Cd 2.76, 2 Pb 2.98-3.01
As: 0.9396 0.0604 0.6377  2 Cd 2.79-2.88
Pb: 0.3071 0.6929 0.6944  5 As 2.98-3.18
Pb: 0.4586 0.5414 0.3271  5 As 3.01-3.24
Pb: 0.5414 0.4586 0.8271  5 As 3.01-3.24
Pb: 0.6929 0.3071 0.1944  5 As 2.98-3.18

Output
Calculated total energy, eV per atom: -3.558
Space group: Cmc2_1

***

2.
CdAsPb: optimized geometry, GGA-PBE.

Lattice parameters (Å, degrees): 4.9581 4.9581 4.9581 60.00 60.00 60.00
Closest atoms and distances in Å follow each position.
Fractional coordinates of all 3 atoms:
Cd: 0.0000 0.0000 0.0000  4 As 3.04
As: 0.2500 0.2500 0.2500  4 Pb 3.04, 4 Cd 3.04
Pb: 0.5000 0.5000 0.5000  4 As 3.04

Output
Calculated total energy, eV per atom: -3.022
Space group: F-43m

***

3.
CdAs2Pb: optimized geometry, GGA-PBE.

Lattice parameters (Å, degrees): 5.1036 5.1036 5.1036 60.00 60.00 60.00
Closest atoms and distances in Å follow each position.
Fractional coordinates of all 4 atoms:
Cd: 0.0000 0.0000 0.0000  4 Pb 3.13, 4 As 3.13
As: 0.2500 0.2500 0.2500  4 Cd 3.13, 4 As 3.13
As: 0.5000 0.5000 0.5000  4 Pb 3.13, 4 As 3.13
Pb: 0.7500 0.7500 0.7500  4 As 3.13, 4 Cd 3.13

Output
Calculated total energy, eV per atom: -3.188
Space group: F-43m